ZrCo2Se | SCAN | PBEsol geometry

As for the density of states at the Fermi level: 3.08 states/eV/cell. The uncorrected formation energy comes out at -0.193 eV/atom.

It has space group P4mm (No. 99), with a = 3.244 Å, b = 3.244 Å, c = 5.659 Å, α = 90.00°, β = 90.00° and γ = 90.00°. The inequivalent atoms are Zr at (0.000, 0.000, 0.000), Co at (0.000, 0.000, 0.446), Co at (0.500, 0.500, 0.303) and Se at (0.500, 0.500, 0.732).

***

AlTlTc2 | SCAN | PBEsol geometry

As for the density of states at the Fermi level: 2.65 states/eV/cell. For the formation energy, the calculation gives 0.36 eV per formula unit.

It has space group P4mm (No. 99), with a = 2.947 Å, b = 2.947 Å, c = 7.832 Å, α = 90.00°, β = 90.00° and γ = 90.00°. The inequivalent atoms are Al at (0.000, 0.000, 0.000), Tl at (0.500, 0.500, 0.674), Tc at (0.000, 0.000, 0.394) and Tc at (0.500, 0.500, 0.207).

***

SrLa2Sc | SCAN | PBEsol geometry

As for the density of states at the Fermi level: 5.12 states/eV/cell. As for the distance to the lowest polymorph of the same formula: 17 meV per atom. For the formation energy, the calculation gives 0.75 eV per formula unit.

It has space group Pmm2 (No. 25), with a = 3.615 Å, b = 5.046 Å, c = 7.486 Å, α = 90.00°, β = 90.00° and γ = 90.00°. The inequivalent atoms are Sr at (0.000, 0.000, 0.000), La at (0.000, 0.000, 0.510), La at (0.500, 0.500, 0.299) and Sc at (0.500, 0.500, 0.733).

***

Sc2TaRe | SCAN | PBEsol geometry

As for the density of states at the Fermi level: 3.06 states/eV/cell. As for the distance to the lowest polymorph of the same formula: 0 meV per atom. For the formation energy, the calculation gives -0.65 eV per formula unit.

It has space group P4mm (No. 99), with a = 3.210 Å, b = 3.210 Å, c = 7.466 Å, α = 90.00°, β = 90.00° and γ = 90.00°. The inequivalent atoms are Sc at (0.000, 0.000, 0.000), Sc at (0.500, 0.500, 0.337), Ta at (0.000, 0.000, 0.588) and Re at (0.500, 0.500, 0.780).

***

In2ReSi | SCAN | PBEsol geometry

As for the density of states at the Fermi level: 2.31 states/eV/cell. The uncorrected formation energy comes out at 0.813 eV/atom.

It has space group Pmmm (No. 47), with a = 3.406 Å, b = 4.457 Å, c = 4.594 Å, α = 90.00°, β = 90.00° and γ = 90.00°. The inequivalent atoms are In at (0.000, 0.000, 0.000), In at (0.500, 0.500, 0.000), Re at (0.000, 0.500, 0.500) and Si at (0.500, 0.000, 0.500).

***

RbTcSn2 | SCAN | PBEsol geometry

As for the density of states at the Fermi level: 4.70 states/eV/cell. For the formation energy, the calculation gives 2.93 eV per formula unit.

It has space group Fm-3m (No. 225), with a = 7.149 Å, b = 7.149 Å, c = 7.149 Å, α = 90.00°, β = 90.00° and γ = 90.00°. The inequivalent atoms are Rb at (0.000, 0.000, 0.000), Tc at (0.000, 0.000, 0.500) and Sn at (0.250, 0.250, 0.250).

***

K2V2CoO7 | SCAN | PBEsol geometry

The uncorrected formation energy comes out at -2.355 eV/atom.

It has space group P-42_1m (No. 113), with a = 8.372 Å, b = 8.372 Å, c = 5.567 Å, α = 90.00°, β = 90.00° and γ = 90.00°. The inequivalent atoms are K at (0.161, 0.339, 0.010), V at (0.143, 0.643, 0.546), Co at (0.000, 0.000, 0.500), O at (0.000, 0.500, 0.656), O at (0.090, 0.825, 0.665) and O at (0.144, 0.644, 0.248).

***

YPRh3 | SCAN | PBEsol geometry

As for the density of states at the Fermi level: 4.98 states/eV/cell. For the formation energy, the calculation gives -3.86 eV per formula unit.

It has space group Pm-3m (No. 221), with a = 4.390 Å, b = 4.390 Å, c = 4.390 Å, α = 90.00°, β = 90.00° and γ = 90.00°. The inequivalent atoms are Y at (0.000, 0.000, 0.000), P at (0.500, 0.500, 0.500) and Rh at (0.000, 0.500, 0.500).

***

As2BrCl | SCAN | PBEsol geometry

As for the density of states at the Fermi level: 2.87 states/eV/cell. The uncorrected formation energy comes out at 0.034 eV/atom. As for the distance to the lowest polymorph of the same formula: 386 meV per atom.

It has space group C2/m (No. 12), with a = 10.789 Å, b = 3.518 Å, c = 6.816 Å, α = 90.00°, β = 128.84° and γ = 90.00°. The inequivalent atoms are As at (0.244, 0.000, 0.129), Br at (0.000, 0.000, 0.500) and Cl at (0.000, 0.500, 0.000).

***

Ba2OsPt | SCAN | PBEsol geometry

As for the density of states at the Fermi level: 3.06 states/eV/cell. As for the distance to the lowest polymorph of the same formula: 0 meV per atom. For the formation energy, the calculation gives 1.08 eV per formula unit.

It has space group P4mm (No. 99), with a = 3.588 Å, b = 3.588 Å, c = 9.269 Å, α = 90.00°, β = 90.00° and γ = 90.00°. The inequivalent atoms are Ba at (0.000, 0.000, 0.000), Ba at (0.500, 0.500, 0.432), Os at (0.000, 0.000, 0.687) and Pt at (0.500, 0.500, 0.757).

***

Li3SbCl | SCAN | PBEsol geometry

As for the density of states at the Fermi level: 1.76 states/eV/cell. The uncorrected formation energy comes out at -0.929 eV/atom.

It has space group Pm-3m (No. 221), with a = 4.587 Å, b = 4.587 Å, c = 4.587 Å, α = 90.00°, β = 90.00° and γ = 90.00°. The inequivalent atoms are Li at (0.000, 0.000, 0.500), Sb at (0.500, 0.500, 0.500) and Cl at (0.000, 0.000, 0.000).

***

NaZnAsH2 | SCAN | PBEsol geometry

Its calculated total energy is -0.31599 hartree per atom. As for the density of states at the Fermi level: 1.30 states/eV/cell.

It has space group P4/mmm (No. 123), with a = 3.915 Å, b = 3.915 Å, c = 4.976 Å, α = 90.00°, β = 90.00° and γ = 90.00°. The inequivalent atoms are Na at (0.000, 0.000, 0.000), Zn at (0.500, 0.500, 0.000), As at (0.500, 0.500, 0.500) and H at (0.000, 0.500, 0.500).

***

SrFe2W | SCAN | PBEsol geometry

As for the density of states at the Fermi level: 8.10 states/eV/cell. For the formation energy, the calculation gives 3.46 eV per formula unit.

It has space group Amm2 (No. 38), with a = 3.668 Å, b = 3.460 Å, c = 11.944 Å, α = 90.00°, β = 90.00° and γ = 90.00°. The inequivalent atoms are Sr at (0.000, 0.000, 0.000), Fe at (0.000, 0.000, 0.254), Fe at (0.500, 0.000, 0.353) and W at (0.500, 0.000, 0.721).

***

Li2AuCl | SCAN | PBEsol geometry

The uncorrected formation energy comes out at -1.127 eV/atom. As for the distance to the lowest polymorph of the same formula: 0 meV per atom.

It has space group R3m (No. 160, hexagonal axes), with a = 3.4355 Å, b = 3.4355 Å, c = 19.6921 Å, α = 90.00°, β = 90.00° and γ = 120.00°. The inequivalent atoms are Li at (0.0000, 0.0000, 0.0000), Li at (0.0000, 0.0000, 0.1824), Au at (0.0000, 0.0000, 0.4238) and Cl at (0.0000, 0.0000, 0.5912).

***

Cd3Ag | SCAN | PBEsol geometry

As for the density of states at the Fermi level: 3.40 states/eV/cell. For the formation energy, the calculation gives -0.15 eV per formula unit.

It has space group Cmcm (No. 63), with a = 6.015 Å, b = 10.527 Å, c = 4.812 Å, α = 90.00°, β = 90.00° and γ = 90.00°. The inequivalent atoms are Cd at (0.000, 0.084, 0.250), Cd at (0.244, 0.336, 0.250) and Ag at (0.000, 0.417, 0.750).

***

TeBrCl | SCAN | PBEsol geometry

As for the density of states at the Fermi level: 2.69 states/eV/cell. The uncorrected formation energy comes out at -0.248 eV/atom.

It has space group Fmm2 (No. 42), with a = 3.863 Å, b = 7.115 Å, c = 13.627 Å, α = 90.00°, β = 90.00° and γ = 90.00°. The inequivalent atoms are Te at (0.000, 0.000, 0.000), Br at (0.000, 0.000, 0.357) and Cl at (0.000, 0.000, 0.632).

***

CdAuS3 | SCAN | PBEsol geometry

As for the density of states at the Fermi level: 2.94 states/eV/cell. The uncorrected formation energy comes out at 0.520 eV/atom.

It has space group Pm-3m (No. 221), with a = 4.768 Å, b = 4.768 Å, c = 4.768 Å, α = 90.00°, β = 90.00° and γ = 90.00°. The inequivalent atoms are Cd at (0.000, 0.000, 0.000), Au at (0.500, 0.500, 0.500) and S at (0.000, 0.500, 0.500).

***

Zn2IrOs | SCAN | PBEsol geometry

As for the density of states at the Fermi level: 6.03 states/eV/cell. As for the distance to the lowest polymorph of the same formula: 134 meV per atom. For the formation energy, the calculation gives 0.66 eV per formula unit.

It has space group I-4m2 (No. 119), with a = 3.849 Å, b = 3.849 Å, c = 7.386 Å, α = 90.00°, β = 90.00° and γ = 90.00°. The inequivalent atoms are Zn at (0.000, 0.000, 0.000), Zn at (0.000, 0.500, 0.250), Ir at (0.000, 0.000, 0.500) and Os at (0.000, 0.500, 0.750).

***

CdTcIBr2 | SCAN | PBEsol geometry

As for the density of states at the Fermi level: 0.35 states/eV/cell. The uncorrected formation energy comes out at 0.357 eV/atom.

It has space group P4/mmm (No. 123), with a = 5.243 Å, b = 5.243 Å, c = 5.883 Å, α = 90.00°, β = 90.00° and γ = 90.00°. The inequivalent atoms are Cd at (0.000, 0.000, 0.000), Tc at (0.500, 0.500, 0.500), I at (0.000, 0.000, 0.500) and Br at (0.000, 0.500, 0.000).

***

Li2WN | SCAN | PBEsol geometry

As for the density of states at the Fermi level: 9.10 states/eV/cell. The uncorrected formation energy comes out at 0.256 eV/atom.

It has space group I-42d (No. 122), with a = 6.807 Å, b = 6.807 Å, c = 3.961 Å, α = 90.00°, β = 90.00° and γ = 90.00°. The inequivalent atoms are Li at (0.154, 0.250, 0.125), W at (0.000, 0.000, 0.500) and N at (0.000, 0.000, 0.000).